a.
First-principles (PBE-GGA) data for Tb4Nd2Er5 after structural relaxation, as listed in Alexandria.

Values from the calculation:
**Volume**: 31.8 Å³ per atom
**Total magnetic moment**: 0.00 μB/f.u.
**Fermi-level density of states**: 14.7 states/eV/f.u.
**Crystal system**: triclinic

a = 3.5549 Å, b = 9.4106 Å, c = 11.7971 Å
α = 106.39°, β = 81.37°, γ = 112.20°
Last column: nearest neighbours and their distance in Å.
Positions (direct):
Er (0.0441, 0.9076, 0.7263)  3 Tb 3.52-3.54, 7 Er 3.53-3.57, 2 Nd 3.55
Tb (0.2279, 0.5462, 0.6355)  5 Er 3.53-3.58, 6 Tb 3.54-3.55, 1 Nd 3.57
Er (0.4089, 0.1803, 0.5431)  7 Er 3.53-3.57, 3 Tb 3.53-3.58, 2 Nd 3.57
Er (0.5911, 0.8197, 0.4569)  7 Er 3.53-3.57, 3 Tb 3.53-3.58, 2 Nd 3.57
Er (0.9559, 0.0924, 0.2737)  3 Tb 3.52-3.54, 7 Er 3.53-3.57, 2 Nd 3.55
Tb (0.7721, 0.4538, 0.3645)  5 Er 3.53-3.58, 6 Tb 3.54-3.55, 1 Nd 3.57
Tb (0.3146, 0.3607, 0.0926)  3 Er 3.52-3.54, 5 Tb 3.55-3.62, 4 Nd 3.59-3.60
Nd (0.8622, 0.2699, 0.8166)  5 Er 3.55-3.57, 2 Nd 3.55, 5 Tb 3.57-3.60
Er (0.5000, 0.0000, 0.0000)  4 Tb 3.54, 2 Nd 3.55, 6 Er 3.55-3.57
Tb (0.6854, 0.6393, 0.9074)  3 Er 3.52-3.54, 5 Tb 3.55-3.62, 4 Nd 3.59-3.60
Nd (0.1378, 0.7301, 0.1834)  5 Er 3.55-3.57, 2 Nd 3.55, 5 Tb 3.57-3.60



b.
First-principles (PBE-GGA) data for Tb4Nd2Er5 after structural relaxation, as listed in Alexandria.

Values from the calculation:
**Volume**: 33.2 Å³ per atom
**Total magnetic moment**: 0.00 μB/f.u.
**Fermi-level density of states**: 16.7 states/eV/f.u.
**Crystal system**: orthorhombic

a = 3.4937 Å, b = 9.0353 Å, c = 12.5423 Å
α = 111.11°, β = 98.01°, γ = 90.00°
Last column: nearest neighbours and their distance in Å.
Positions (direct):
Nd (0.7324, 0.7324, 0.4647)  1 Tb 3.13, 2 Er 3.40, 2 Nd 3.49
Tb (0.4031, 0.4031, 0.8062)  1 Nd 3.13, 6 Tb 3.34-3.49, 4 Er 3.43
Er (0.8586, 0.6650, 0.7172)  1 Nd 3.40, 3 Tb 3.43, 3 Er 3.49-3.50
Er (0.8586, 0.0521, 0.7172)  1 Nd 3.40, 3 Tb 3.43, 3 Er 3.49-3.50
Tb (0.0000, 0.6937, 0.0000)  4 Er 3.27-3.43, 7 Tb 3.34-3.50
Nd (0.2676, 0.2676, 0.5353)  1 Tb 3.13, 2 Er 3.40, 2 Nd 3.49
Er (0.5000, 0.0000, 0.0000)  4 Tb 3.27, 2 Er 3.49
Tb (0.0000, 0.3063, 0.0000)  4 Er 3.27-3.43, 7 Tb 3.34-3.50
Tb (0.5969, 0.5969, 0.1938)  1 Nd 3.13, 6 Tb 3.34-3.49, 4 Er 3.43
Er (0.1414, 0.3350, 0.2828)  1 Nd 3.40, 3 Tb 3.43, 3 Er 3.49-3.50
Er (0.1414, 0.9479, 0.2828)  1 Nd 3.40, 3 Tb 3.43, 3 Er 3.49-3.50



Which is most stable, and by how much? a, by 0.204 eV/atom.